Density functional theory data (PBE-GGA) for crystalline Th6TeC3S2 at its relaxed geometry.

ρ ... 9.9 g/cm3
Energy relative to the elements, uncorrected ... -1.030 eV/atom
Crystal system ... monoclinic

Cell lengths 17.894, 3.880, 8.289 Å; angles 90.00, 108.39, 90.00 degrees
Space group C2/m (No. 12)
Unique sites:
Th  0.011  0.000  0.212 x4
Th  0.158  0.500  0.105 x4
Th  0.181  0.500  0.561 x4
Te  0.000  0.500  0.500 x2
C  0.000  0.500  0.000 x2
C  0.167  0.000  0.327 x4
S  0.167  0.000  0.833 x4